# MgHgAs2

An optimized crystal structure of MgHgAs2 (PBE-GGA, Alexandria).

a = 5.586 Å, b = 5.586 Å, c = 4.987 Å
α = 86.85°, β = 86.85°, γ = 37.53°
Element x y z (fractional)
As 0.495 0.495 0.425
As 0.005 0.005 0.075
Hg 0.750 0.750 0.750
Mg 0.250 0.250 0.250

Output
The total magnetic moment is 0.0000 μB/atom. As for the space group: C2/m, No. 12. The calculation puts the density of states at the Fermi level at 0.83 states/eV per cell. The total energy comes out at -2.86 eV/atom. Its offset from the most stable computed form is 0.01 eV per formula unit. The value obtained for the formation energy is -58 meV per atom.